## TmNiO3 (GGA-PBEsol)

Data for a geometry-optimized TmNiO3 structure.

volume	200	Å³ per cell
ΔE_f (raw)	-2298	meV per atom

abc: 5.0524 5.5006 7.1995
angles: 90.00 90.00 90.00
Last column: nearest neighbours and their distance in Å.
Atoms (fractional coordinates):
O (0.1090, 0.4672, 0.7500)  2 Ni 1.89
O (0.8113, 0.8058, 0.5519)  2 Ni 1.94-1.97
Tm (0.4756, 0.4174, 0.2500)  6 O 2.19-2.38
O (0.8113, 0.8058, 0.9481)  2 Ni 1.94-1.97
Ni (0.5000, 0.0000, 0.5000)  6 O 1.89-1.97
Tm (0.0244, 0.9174, 0.2500)  6 O 2.19-2.38
Ni (0.0000, 0.5000, 0.5000)  6 O 1.89-1.97
O (0.3113, 0.6942, 0.4481)  2 Ni 1.94-1.97
O (0.1887, 0.1942, 0.4481)  2 Ni 1.94-1.97
O (0.3113, 0.6942, 0.0519)  2 Ni 1.94-1.97
Ni (0.5000, 0.0000, 0.0000)  6 O 1.89-1.97
Tm (0.5244, 0.5826, 0.7500)  6 O 2.19-2.38
O (0.6887, 0.3058, 0.9481)  2 Ni 1.94-1.97
O (0.8910, 0.5328, 0.2500)  2 Ni 1.89
O (0.6090, 0.0328, 0.2500)  2 Ni 1.89
Ni (0.0000, 0.5000, 0.0000)  6 O 1.89-1.97
O (0.6887, 0.3058, 0.5519)  2 Ni 1.94-1.97
O (0.3910, 0.9672, 0.7500)  2 Ni 1.89
O (0.1887, 0.1942, 0.0519)  2 Ni 1.94-1.97
Tm (0.9756, 0.0826, 0.7500)  6 O 2.19-2.38



## KNa2Hg (GGA-PBEsol)

Data for a geometry-optimized KNa2Hg structure.

volume	126	Å³ per cell
formation energy from the elements	-79	meV/atom

abc: 5.6317 5.6317 5.6317
angles: 60.00 60.00 60.00
Last column: nearest neighbours and their distance in Å.
Atoms (fractional coordinates):
Na (0.7500, 0.7500, 0.7500)  4 Hg 3.45, 4 K 3.45
Hg (0.5000, 0.5000, 0.5000)  8 Na 3.45
Na (0.2500, 0.2500, 0.2500)  4 K 3.45, 4 Hg 3.45
K (0.0000, 0.0000, 0.0000)  8 Na 3.45



Looking at D(E_F) for the records above, in order, we have 0.366, 0.426 states/eV per atom.